Ac6Co3Hg2 (PBE-GGA, optimized geometry); DFT formation energy = -138.8 meV/atom
1.0
3.6382 -6.2999 0.0000
3.6382 6.2999 0.0000
-2.4580 0.0000 8.1746
Ac Co Hg
6 3 2
direct
0.0624 0.3987 0.1947
0.2656 0.2656 0.8086
0.3987 0.0624 0.1947
0.6013 0.9376 0.8053
0.7345 0.7345 0.1914
0.9376 0.6013 0.8053
0.0000 0.0000 0.0000
0.3334 0.6666 0.0000
0.6666 0.3334 0.0000
0.1648 0.8352 0.5000
0.8352 0.1648 0.5000